Record 1
Below is SrPuPbO6 after structural relaxation, with properties calculated at the PBE-GGA level.

Structure (POSCAR):
```
SrPuPbO6
1.0
5.7712 0.0000 0.0000
-2.8856 4.9980 0.0000
0.0000 0.0000 10.5507
Pb O Sr Pu
2 12 2 2
Direct
0.3333 0.6667 0.2500
0.6667 0.3333 0.7500
0.3481 0.9699 0.6416
0.6218 0.6519 0.6416
0.3782 0.0301 0.1416
0.6218 0.9699 0.8584
0.6519 0.6218 0.1416
0.3782 0.3481 0.3584
0.3481 0.3782 0.8584
0.9699 0.3481 0.1416
0.0301 0.3782 0.6416
0.9699 0.6218 0.3584
0.6519 0.0301 0.3584
0.0301 0.6519 0.8584
0.0000 0.0000 0.5000
0.0000 0.0000 0.0000
0.6667 0.3333 0.2500
0.3333 0.6667 0.7500
```

## Properties
Its symmetry is P-31c, No. 163.

Record 2
Below is SrPuPb2O6 after structural relaxation, with properties calculated at the PBE-GGA level.

Structure (POSCAR):
```
SrPuPb2O6
1.0
-6.0886 -1.8681 0.8985
-1.9066 -6.2921 0.5849
-2.1295 -2.6434 5.4633
Pb O Sr Pu
2 6 1 1
Direct
0.0592 0.0038 0.7946
0.5731 0.6285 0.3085
0.4835 0.6214 0.7293
0.5199 0.2020 0.2552
0.1125 0.4303 0.8478
0.1488 0.0109 0.3738
0.9939 0.6215 0.2188
0.6384 0.0109 0.8842
0.8162 0.8162 0.5515
0.3162 0.3162 0.0515
```

## Properties
Its symmetry is C2/m, No. 12.

Record 3
Below is Sr2PuPbO6 after structural relaxation, with properties calculated at the PBE-GGA level.

Structure (POSCAR):
```
Sr2PuPbO6
1.0
6.0336 0.0000 -0.0017
0.0000 6.2930 0.0000
0.0502 0.0000 8.6749
O Pb Sr Pu
12 2 4 2
Direct
0.7210 0.3246 0.9495
0.6717 0.2719 0.5757
0.2790 0.6754 0.0505
0.8815 0.5603 0.2232
0.8283 0.7719 0.9243
0.6185 0.0603 0.2768
0.3283 0.7281 0.4243
0.7790 0.8246 0.5505
0.2210 0.1754 0.4495
0.1185 0.4397 0.7768
0.3815 0.9397 0.7232
0.1717 0.2281 0.0757
0.0000 0.5000 0.5000
0.5000 0.0000 0.0000
0.0154 0.9473 0.2554
0.9846 0.0527 0.7446
0.5154 0.5527 0.7554
0.4846 0.4473 0.2446
0.5000 0.0000 0.5000
0.0000 0.5000 0.0000
```

## Properties
Its symmetry is P2_1/c, No. 14.

Looking at raw formation energy for the records above, in order, we have -2062 -2097 -2477 meV per atom.